VASP calculation (GGA-PBE) on a geometry-optimized Sr2PdPb6 structure.

a b c (Å): 4.836 4.700 25.299
angles (deg): 90.00 90.00 90.00
Space group Amm2 (No. 38)
Inequivalent atoms, fractional coordinates:
Sr1 0.000 0.000 0.000 x2
Sr2 0.000 0.000 0.344 x2
Pd1 0.500 0.000 0.555 x2
Pb1 0.000 0.000 0.614 x2
Pb2 0.000 0.000 0.737 x2
Pb3 0.500 0.000 0.116 x2
Pb4 0.500 0.000 0.239 x2
Pb5 0.500 0.000 0.448 x2
Pb6 0.500 0.000 0.869 x2

DFT formation energy   -282 meV per atom
Raw total energy   -3.71 eV/atom
ρ   8807 kg/m³
Magnetization   0.000 μB/cell

---

VASP calculation (GGA-PBE) on a geometry-optimized LiZr2Cu2 structure.

a b c (Å): 7.983 7.983 2.848
angles (deg): 90.00 90.00 90.00
Space group P4/mbm (No. 127)
Inequivalent atoms, fractional coordinates:
Li1 0.000 0.000 0.000 x2
Zr1 0.168 0.332 0.000 x4
Cu1 0.125 0.625 0.500 x4

DFT formation energy   74 meV per atom
Raw total energy   -5.37 eV/atom
ρ   5792 kg/m³
Magnetization   0.000 μB/cell

---

VASP calculation (GGA-PBE) on a geometry-optimized NdI2 structure.

a b c (Å): 3.881 3.881 15.677
angles (deg): 90.00 90.00 90.00
Space group I4/mmm (No. 139)
Inequivalent atoms, fractional coordinates:
Nd1 0.000 0.000 0.000 x2
I1 0.000 0.000 0.380 x4

E_form (uncorrected)   -3.87 eV/f.u.
Raw total energy   -3.91 eV/atom
ρ   5599 kg/m³
Magnetization   0.000 μB/cell

---

VASP calculation (GGA-PBE) on a geometry-optimized HfInRu2 structure.

a b c (Å): 2.850 5.016 10.476
angles (deg): 90.00 90.00 90.00
Space group Immm (No. 71)
Inequivalent atoms, fractional coordinates:
Hf1 0.000 0.000 0.000 x2
In1 0.000 0.000 0.500 x2
Ru1 0.000 0.000 0.239 x4

DFT formation energy   669 meV per atom
Raw total energy   -7.14 eV/atom
ρ   10988 kg/m³
Magnetization   0.000 μB/cell

---

VASP calculation (GGA-PBE) on a geometry-optimized CoW2 structure.

a b c (Å): 10.001 2.813 6.451
angles (deg): 90.00 107.05 90.00
Space group Cm (No. 8)
Inequivalent atoms, fractional coordinates:
Co1 0.000 0.000 0.000 x2
Co2 0.175 0.500 0.330 x2
W1 0.063 0.000 0.588 x2
W2 0.203 0.500 0.946 x2
W3 0.342 0.000 0.670 x2
W4 0.394 0.000 0.250 x2

DFT formation energy   267 meV per atom
Raw total energy   -10.74 eV/atom
ρ   16329 kg/m³
Magnetization   0.000 μB/cell

---

VASP calculation (GGA-PBE) on a geometry-optimized BaTa2Ir structure.

a b c (Å): 3.0161 3.0161 32.4643
angles (deg): 90.00 90.00 120.00
Space group R-3m (No. 166, hexagonal axes)
Inequivalent atoms, fractional coordinates:
Ba1 0.0000 0.0000 0.0000 x3
Ta1 0.0000 0.0000 0.2341 x6
Ir1 0.0000 0.0000 0.5000 x3

DFT formation energy   678 meV per atom
Raw total energy   -7.94 eV/atom
ρ   13468 kg/m³
Magnetization   0.000 μB/cell

---

VASP calculation (GGA-PBE) on a geometry-optimized Li2HSeS structure.

a b c (Å): 4.901 4.901 3.329
angles (deg): 90.00 90.00 90.00
Space group P4mm (No. 99)
Inequivalent atoms, fractional coordinates:
Li1 0.000 0.500 0.000 x2
H1 0.000 0.000 0.516 x1
Se1 0.500 0.500 0.598 x1
S1 0.000 0.000 0.110 x1

Raw total energy   -3.61 eV/atom
ρ   2615 kg/m³
Magnetization   0.000 μB/cell

---

VASP calculation (GGA-PBE) on a geometry-optimized HW3 structure.

a b c (Å): 2.658 8.323 4.714
angles (deg): 90.00 90.00 90.00
Space group Imm2 (No. 44)
Inequivalent atoms, fractional coordinates:
H1 0.000 0.000 0.000 x2
W1 0.000 0.319 0.676 x4
W2 0.000 0.500 0.162 x2

Raw total energy   -10.02 eV/atom
ρ   17592 kg/m³
Magnetization   0.000 μB/cell

---

VASP calculation (GGA-PBE) on a geometry-optimized Si2SnRhN structure.

a b c (Å): 3.631 2.990 7.381
angles (deg): 90.00 101.53 90.00
Space group Pm (No. 6)
Inequivalent atoms, fractional coordinates:
Si1 0.000 0.000 0.000 x1
Si2 0.481 0.500 0.244 x1
Sn1 0.883 0.500 0.592 x1
Rh1 0.471 0.500 0.902 x1
N1 0.210 0.000 0.245 x1

E_form (uncorrected)   -1.34 eV/f.u.
Raw total energy   -6.37 eV/atom
ρ   6172 kg/m³
Magnetization   0.000 μB/cell

---

VASP calculation (GGA-PBE) on a geometry-optimized NbAlPO2 structure.

a b c (Å): 3.905 3.905 5.299
angles (deg): 90.00 90.00 90.00
Space group P4/mmm (No. 123)
Inequivalent atoms, fractional coordinates:
Nb1 0.000 0.000 0.000 x1
Al1 0.500 0.500 0.500 x1
P1 0.000 0.000 0.500 x1
O1 0.000 0.500 0.000 x2

E_form (uncorrected)   -6.36 eV/f.u.
Raw total energy   -7.10 eV/atom
ρ   3757 kg/m³
Magnetization   0.000 μB/cell

---

VASP calculation (GGA-PBE) on a geometry-optimized Li2PrNdP2 structure.

a b c (Å): 4.1750 4.1750 7.8989
angles (deg): 90.00 90.00 120.00
Space group P-3m1 (No. 164)
Inequivalent atoms, fractional coordinates:
Li1 0.3333 0.6667 0.2486 x2
Pr1 0.0000 0.0000 0.5000 x1
Nd1 0.0000 0.0000 0.0000 x1
P1 0.3333 0.6667 0.7533 x2

DFT formation energy   -1007 meV per atom
Raw total energy   -5.04 eV/atom
ρ   5027 kg/m³
Magnetization   0.906 μB/cell

---

VASP calculation (GGA-PBE) on a geometry-optimized Zr2NbAu structure.

a b c (Å): 3.469 3.469 6.717
angles (deg): 90.00 90.00 90.00
Space group P4/mmm (No. 123)
Inequivalent atoms, fractional coordinates:
Zr1 0.000 0.000 0.244 x2
Nb1 0.500 0.500 0.000 x1
Au1 0.500 0.500 0.500 x1

DFT formation energy   -294 meV per atom
Raw total energy   -7.91 eV/atom
ρ   9703 kg/m³
Magnetization   0.000 μB/cell

---

Question: Among the records above, which one has the lowest raw total energy?
Answer: CoW2

---

Question: magnetization of number 1 (Sr2PdPb6)?
Answer: 0.000 μB/cell